Compound: LiDyMgHg
Source: OQMD
Functional: PBE-GGA
Structure: relaxed

Values from the calculation:
VASP energy	-0.1773	Ry/atom
symmetry	F-43m (216)

Lattice parameters (Å, degrees): 4.9644 4.9644 4.9644 60.00 60.00 60.00
Sites, in units of the cell vectors:
Dy: 0.2500 0.2500 0.2500
Hg: 0.5000 0.5000 0.5000
Li: 0.0000 0.0000 0.0000
Mg: 0.7500 0.7500 0.7500

---

Compound: GdIrPb
Source: OQMD
Functional: PBE-GGA
Structure: relaxed

Values from the calculation:
VASP energy	-0.4038	Ry/atom
symmetry	F-43m (216)

Lattice parameters (Å, degrees): 4.8366 4.8366 4.8366 60.00 60.00 60.00
Sites, in units of the cell vectors:
Gd: 0.0000 0.0000 0.0000
Ir: 0.2500 0.2500 0.2500
Pb: 0.7500 0.7500 0.7500

---

Compound: BaMgSnPd
Source: OQMD
Functional: PBE-GGA
Structure: relaxed

Values from the calculation:
symmetry	F-43m (216)
ΔE to the lowest computed polymorph	0.000	eV per atom

Lattice parameters (Å, degrees): 5.2102 5.2102 5.2102 60.00 60.00 60.00
Sites, in units of the cell vectors:
Ba: 0.5000 0.5000 0.5000
Mg: 0.7500 0.7500 0.7500
Pd: 0.2500 0.2500 0.2500
Sn: 0.0000 0.0000 0.0000